Ca4SnPb15: optimized geometry, GGA-PBE.

The structure in CIF format:
```
data_Ca4SnPb15
_symmetry_space_group_name_H-M 'P 4/m m m'
_symmetry_Int_Tables_number 123
_symmetry_space_group_name_Hall '-P 4 2'
_cell_length_a 4.928
_cell_length_b 4.928
_cell_length_c 24.988
_cell_angle_alpha 90.00
_cell_angle_beta 90.00
_cell_angle_gamma 90.00
loop_
_atom_site_label
_atom_site_type_symbol
_atom_site_fract_x
_atom_site_fract_y
_atom_site_fract_z
_atom_site_occupancy
Ca1 Ca 0.000 0.000 0.100 1
Ca2 Ca 0.000 0.000 0.294 1
Sn1 Sn 0.000 0.000 0.500 1
Pb1 Pb 0.000 0.500 0.000 1
Pb2 Pb 0.000 0.500 0.198 1
Pb3 Pb 0.000 0.500 0.398 1
Pb4 Pb 0.500 0.500 0.100 1
Pb5 Pb 0.500 0.500 0.300 1
Pb6 Pb 0.500 0.500 0.500 1
```

ΔE_f ... -232 meV/atom

=====

CaDyGaO4: optimized geometry, GGA-PBE.

The structure in CIF format:
```
data_CaDyGaO4
_symmetry_space_group_name_H-M 'I m m a'
_symmetry_Int_Tables_number 74
_symmetry_space_group_name_Hall '-I 2b 2'
_cell_length_a 6.337
_cell_length_b 6.625
_cell_length_c 9.169
_cell_angle_alpha 90.00
_cell_angle_beta 90.00
_cell_angle_gamma 90.00
loop_
_atom_site_label
_atom_site_type_symbol
_atom_site_fract_x
_atom_site_fract_y
_atom_site_fract_z
_atom_site_occupancy
Ca1 Ca 0.250 0.250 0.250 1
Dy1 Dy 0.000 0.000 0.000 1
Ga1 Ga 0.000 0.250 0.633 1
O1 O 0.000 0.012 0.752 1
O2 O 0.250 0.250 0.506 1
```

=====

Ba3ErTi2O8: optimized geometry, GGA-PBE.

The structure in CIF format:
```
data_Ba3ErTi2O8
_symmetry_space_group_name_H-M 'P -3 m 1'
_symmetry_Int_Tables_number 164
_symmetry_space_group_name_Hall '-P 3 2"'
_cell_length_a 6.0152
_cell_length_b 6.0152
_cell_length_c 7.6795
_cell_angle_alpha 90.00
_cell_angle_beta 90.00
_cell_angle_gamma 120.00
loop_
_atom_site_label
_atom_site_type_symbol
_atom_site_fract_x
_atom_site_fract_y
_atom_site_fract_z
_atom_site_occupancy
Ba1 Ba 0.0000 0.0000 0.0000 1
Ba2 Ba 0.3333 0.6667 0.6579 1
Er1 Er 0.0000 0.0000 0.5000 1
Ti1 Ti 0.3333 0.6667 0.2147 1
O1 O 0.1695 0.3389 0.3183 1
O2 O 0.3333 0.6667 0.9813 1
```

=====

| no. | total energy (eV per atom) |
| --- | --- |
| 1 | -3.6140 |
| 2 | -6.8868 |
| 3 | -7.6960 |